This record from the Alexandria database describes crystalline KTi2OF at its relaxed geometry. The functional is GGA-PBEsol.

As for the crystal system: tetragonal.

It has space group P4/mmm (No. 123), with a = 3.8537 Å, b = 3.8537 Å, c = 7.1303 Å, α = 90.00°, β = 90.00° and γ = 90.00°. The inequivalent atoms are K at (0.0000, 0.0000, 0.0000), Ti at (0.0000, 0.5000, 0.5000), O at (0.5000, 0.5000, 0.5000) and F at (0.5000, 0.5000, 0.0000).


This record from the Alexandria database describes crystalline KZrTl2OF5 at its relaxed geometry. The functional is GGA-PBEsol.

As for the crystal system: tetragonal.

It has space group I4mm (No. 107), with a = 6.3445 Å, b = 6.3445 Å, c = 9.2612 Å, α = 90.00°, β = 90.00° and γ = 90.00°. The inequivalent atoms are K at (0.0000, 0.0000, 0.0000), Zr at (0.0000, 0.0000, 0.4895), Tl at (0.0000, 0.5000, 0.2292), O at (0.0000, 0.0000, 0.2858), F at (0.0000, 0.0000, 0.7278) and F at (0.2254, 0.2254, 0.5249).


This record from the Alexandria database describes crystalline K5U2O4F9 at its relaxed geometry. The functional is GGA-PBEsol.

As for the crystal system: monoclinic.

It has space group C2/c (No. 15), with a = 19.5644 Å, b = 6.1051 Å, c = 11.4826 Å, α = 90.00°, β = 101.40° and γ = 90.00°. The inequivalent atoms are K at (0.0236, 0.2479, 0.4158), K at (0.1801, 0.2560, 0.1348), K at (0.2500, 0.2500, 0.5000), U at (0.1126, 0.2423, 0.7847), O at (0.0796, 0.4910, 0.2221), O at (0.1443, 0.0247, 0.3487), F at (0.0000, 0.0866, 0.7500), F at (0.0659, 0.3256, 0.9408), F at (0.0896, 0.0719, 0.6095), F at (0.1975, 0.3905, 0.9200) and F at (0.2040, 0.2983, 0.6978).


This record from the Alexandria database describes crystalline K3UO2F5 at its relaxed geometry. The functional is GGA-PBEsol.

As for the crystal system: tetragonal.

It has space group I4_1/a (No. 88, origin choice 2), with a = 9.1087 Å, b = 9.1087 Å, c = 18.0332 Å, α = 90.00°, β = 90.00° and γ = 90.00°. The inequivalent atoms are K at (0.0000, 0.2500, 0.1250), K at (0.0000, 0.2500, 0.6250), K at (0.2171, 0.0173, 0.4874), U at (0.0000, 0.2500, 0.3552), O at (0.0483, 0.4470, 0.8954), F at (0.0000, 0.2500, 0.4806), F at (0.0206, 0.3935, 0.2553) and F at (0.0558, 0.4792, 0.3947).


This record from the Alexandria database describes crystalline KVOF4 at its relaxed geometry. The functional is GGA-PBEsol.

As for the crystal system: monoclinic.

It has space group P2_1/c (No. 14), with a = 5.5071 Å, b = 13.6315 Å, c = 5.4510 Å, α = 90.00°, β = 95.19° and γ = 90.00°. The inequivalent atoms are K at (0.2239, 0.1211, 0.0367), V at (0.2926, 0.6468, 0.9548), O at (0.2115, 0.5871, 0.1831), F at (0.0246, 0.7180, 0.8589), F at (0.2089, 0.5638, 0.7012), F at (0.3953, 0.1087, 0.5561) and F at (0.4230, 0.7421, 0.6149).


This record from the Alexandria database describes crystalline K2VO2F3 at its relaxed geometry. The functional is GGA-PBEsol.

As for the crystal system: orthorhombic.

It has space group Pnma (No. 62), with a = 7.2920 Å, b = 5.6352 Å, c = 11.3090 Å, α = 90.00°, β = 90.00° and γ = 90.00°. The inequivalent atoms are K at (0.0279, 0.2500, 0.2147), K at (0.1856, 0.7500, 0.4126), V at (0.2018, 0.7500, 0.0709), O at (0.1753, 0.0213, 0.6135), F at (0.0000, 0.0000, 0.0000), F at (0.0322, 0.7500, 0.1940) and F at (0.2280, 0.2500, 0.4097).


For each record above, in turn, the calculated formation energy (no corrections) values are -1.334, -2.653, -3.100, -3.078, -2.826, -2.690 eV/atom.
For each record above, in turn, the calculated DOS(E_F) values are 0.814, 0.000, 0.000, 0.000, 0.000, 0.000 states/eV/atom.